[1]
# LaPrTm2Tl4

A relaxed LaPrTm2Tl4 crystal (PBE-GGA, Alexandria via LeMat-Bulk).

DFT formation energy: -0.35 eV per atom
calculated total energy: -3.862 eV/atom

Cell and atoms, written as extended XYZ:
```
8
Lattice="2.7284 1.5752 8.9340 -2.7284 1.5752 8.9340 0.0000 -3.1505 8.9340" Properties=species:S:1:pos:R:3 pbc="T T T"
La 0.0000 0.0000 0.0000
Pr 0.0000 0.0000 13.4010
Tm 0.0000 0.0000 6.6989
Tm 0.0000 0.0000 20.1032
Tl 0.0000 0.0000 3.3627
Tl 0.0000 0.0000 10.0662
Tl 0.0000 0.0000 16.7359
Tl 0.0000 0.0000 23.4394
```

[2]
# LaPrTmTl

A relaxed LaPrTmTl crystal (PBE-GGA, Alexandria via LeMat-Bulk).

DFT formation energy: -0.01 eV per atom
energy relative to the lowest polymorph listed for this composition: 0.077 eV per atom
calculated total energy: -4.150 eV/atom

Cell and atoms, written as extended XYZ:
```
4
Lattice="0.0000 3.9314 3.9314 3.9314 0.0000 3.9314 3.9314 3.9314 0.0000" Properties=species:S:1:pos:R:3 pbc="T T T"
La 0.0000 0.0000 0.0000
Pr 1.9657 1.9657 1.9657
Tm 5.8971 5.8971 5.8971
Tl 3.9314 3.9314 3.9314
```

[3]
# LaPrTmTl

A relaxed LaPrTmTl crystal (PBE-GGA, Alexandria via LeMat-Bulk).

DFT formation energy: -0.09 eV per atom
energy relative to the lowest polymorph listed for this composition: 0.000 eV per atom
calculated total energy: -4.227 eV/atom

Cell and atoms, written as extended XYZ:
```
4
Lattice="0.0000 3.9791 3.9791 3.9791 0.0000 3.9791 3.9791 3.9791 0.0000" Properties=species:S:1:pos:R:3 pbc="T T T"
La 0.0000 0.0000 0.0000
Pr 3.9791 3.9791 3.9791
Tm 5.9686 5.9686 5.9686
Tl 1.9895 1.9895 1.9895
```

[4]
# La2PrYTl2

A relaxed La2PrYTl2 crystal (PBE-GGA, Alexandria via LeMat-Bulk).

DFT formation energy: -0.30 eV per atom
calculated total energy: -4.604 eV/atom

Cell and atoms, written as extended XYZ:
```
12
Lattice="5.2246 0.0000 0.0000 0.0000 10.3903 0.0000 0.0000 0.0000 7.0106" Properties=species:S:1:pos:R:3 pbc="T T T"
La 0.0000 0.6344 0.0000
La 0.0000 9.7559 3.5053
La 2.6123 1.8253 1.6208
La 2.6123 8.5650 5.1261
Pr 2.6123 4.7311 6.1364
Pr 2.6123 5.6592 2.6311
Y 0.0000 3.1662 4.1181
Y 0.0000 7.2241 0.6128
Tl 0.0000 3.9941 0.9863
Tl 0.0000 6.3962 4.4916
Tl 2.6123 1.5200 4.9873
Tl 2.6123 8.8703 1.4819
```